No. 1
Computed, not measured: a geometry-optimized CeSc2Zn2In2 structure at the PBE level of DFT.

a b c (Å): 9.0160 9.0160 9.0160
angles (deg): 30.10 30.10 30.10
Positions (direct):
Ce 0.0000 0.0000 0.0000
Sc 0.1357 0.1357 0.1357
Sc 0.8643 0.8643 0.8643
Zn 0.4408 0.4408 0.4408
Zn 0.5592 0.5592 0.5592
In 0.2585 0.2585 0.2585
In 0.7415 0.7415 0.7415

Summary:
- V (Å³ per cell) = 163.3
- SG = R-3m (166)
- electronic total energy (eV per formula unit) = -28.2

---

No. 2
Computed, not measured: a geometry-optimized Ce2InSe structure at the PBE level of DFT.

a b c (Å): 3.5604 3.5604 8.2382
angles (deg): 90.00 90.00 90.00
Positions (direct):
Ce 0.0000 0.0000 0.2240
Ce 0.0000 0.0000 0.7760
In 0.5000 0.5000 0.5000
Se 0.5000 0.5000 0.0000

Summary:
- V (Å³ per cell) = 104.4
- E above lowest polymorph (kJ/mol of formula units) = 6
- raw formation energy (eV/atom) = -0.9229
- SG = P4/mmm (123)

---

No. 3
Computed, not measured: a geometry-optimized CeIn2Se4 structure at the PBE level of DFT.

a b c (Å): 6.6098 6.6098 6.6098
angles (deg): 106.48 106.48 115.64
Positions (direct):
Ce 0.0000 0.0000 0.0000
In 0.2500 0.7500 0.5000
In 0.7500 0.2500 0.5000
Se 0.1913 0.3230 0.5143
Se 0.3230 0.8087 0.1318
Se 0.6770 0.1913 0.8682
Se 0.8087 0.6770 0.4857

Summary:
- V (Å³ per cell) = 220.4
- raw formation energy (eV/atom) = -0.7073
- SG = I4/m (87)

---

No. 4
Computed, not measured: a geometry-optimized Ce2In2Se7 structure at the PBE level of DFT.

a b c (Å): 7.3868 7.3868 6.9094
angles (deg): 96.68 96.68 102.44
Positions (direct):
Ce 0.2005 0.7995 0.0000
Ce 0.7995 0.2005 0.0000
In 0.2466 0.2466 0.6001
In 0.7534 0.7534 0.3999
Se 0.0313 0.4349 0.7649
Se 0.0842 0.0842 0.2395
Se 0.4349 0.0313 0.7649
Se 0.5000 0.5000 0.5000
Se 0.5651 0.9687 0.2351
Se 0.9158 0.9158 0.7605
Se 0.9687 0.5651 0.2351

Summary:
- V (Å³ per cell) = 361.8
- raw formation energy (eV/atom) = -0.9103
- SG = C2/m (12)

---

No. 5
Computed, not measured: a geometry-optimized Ce2InSe structure at the PBE level of DFT.

a b c (Å): 8.4601 8.4601 8.4601
angles (deg): 27.94 27.94 27.94
Positions (direct):
Ce 0.2394 0.2394 0.2394
Ce 0.7606 0.7606 0.7606
In 0.0000 0.0000 0.0000
Se 0.5000 0.5000 0.5000

Summary:
- V (Å³ per cell) = 117.4
- E above lowest polymorph (kJ/mol of formula units) = 0
- raw formation energy (eV/atom) = -0.9389
- SG = R-3m (166)

---

No. 6
Computed, not measured: a geometry-optimized Ce3In5Se12 structure at the PBE level of DFT.

a b c (Å): 14.4466 14.4466 14.4466
angles (deg): 109.47 109.47 109.47
Positions (direct):
Ce 0.1250 0.2500 0.3750
Ce 0.1250 0.3750 0.7500
Ce 0.2500 0.3750 0.1250
Ce 0.2500 0.8750 0.6250
Ce 0.3750 0.1250 0.2500
Ce 0.3750 0.7500 0.1250
Ce 0.6250 0.2500 0.8750
Ce 0.6250 0.8750 0.7500
Ce 0.7500 0.1250 0.3750
Ce 0.7500 0.6250 0.8750
Ce 0.8750 0.6250 0.2500
Ce 0.8750 0.7500 0.6250
In 0.0000 0.0000 0.0000
In 0.0000 0.0000 0.5000
In 0.0000 0.5000 0.0000
In 0.0000 0.5000 0.5000
In 0.1250 0.7500 0.8750
In 0.1250 0.8750 0.2500
In 0.2500 0.1250 0.8750
In 0.2500 0.6250 0.3750
In 0.3750 0.2500 0.6250
In 0.3750 0.6250 0.7500
In 0.5000 0.0000 0.0000
In 0.5000 0.0000 0.5000
In 0.5000 0.5000 0.0000
In 0.5000 0.5000 0.5000
In 0.6250 0.3750 0.2500
In 0.6250 0.7500 0.3750
In 0.7500 0.3750 0.6250
In 0.7500 0.8750 0.1250
In 0.8750 0.1250 0.7500
In 0.8750 0.2500 0.1250
Se 0.0434 0.2172 0.1303
Se 0.0434 0.3262 0.9131
Se 0.0869 0.6303 0.4131
Se 0.0869 0.7171 0.6738
Se 0.0869 0.8697 0.4131
Se 0.0869 0.9566 0.6738
Se 0.1303 0.0434 0.2172
Se 0.1303 0.5869 0.9131
Se 0.1738 0.2172 0.5869
Se 0.1738 0.4566 0.5869
Se 0.2172 0.1303 0.0434
Se 0.2172 0.5869 0.1738
Se 0.2828 0.3262 0.9131
Se 0.2828 0.4566 0.3697
Se 0.3262 0.9131 0.0434
Se 0.3262 0.9131 0.2828
Se 0.3697 0.2828 0.4566
Se 0.3697 0.5869 0.9131
Se 0.4131 0.0869 0.6303
Se 0.4131 0.0869 0.8697
Se 0.4131 0.8262 0.5434
Se 0.4131 0.8262 0.7829
Se 0.4566 0.3697 0.2828
Se 0.4566 0.5869 0.1738
Se 0.5434 0.4131 0.8262
Se 0.5434 0.6303 0.7171
Se 0.5869 0.1738 0.2172
Se 0.5869 0.1738 0.4566
Se 0.5869 0.9131 0.1303
Se 0.5869 0.9131 0.3697
Se 0.6303 0.4131 0.0869
Se 0.6303 0.7171 0.5434
Se 0.6738 0.0869 0.7171
Se 0.6738 0.0869 0.9566
Se 0.7171 0.5434 0.6303
Se 0.7171 0.6738 0.0869
Se 0.7829 0.4131 0.8262
Se 0.7829 0.8697 0.9566
Se 0.8262 0.5434 0.4131
Se 0.8262 0.7829 0.4131
Se 0.8697 0.4131 0.0869
Se 0.8697 0.9566 0.7829
Se 0.9131 0.0434 0.3262
Se 0.9131 0.1303 0.5869
Se 0.9131 0.2828 0.3262
Se 0.9131 0.3697 0.5869
Se 0.9566 0.6738 0.0869
Se 0.9566 0.7829 0.8697

Summary:
- V (Å³ per cell) = 2321.0
- raw formation energy (eV/atom) = -0.9780
- SG = Ia-3d (230)

---

What is the formula in the fifth record? Ce2InSe

---

What is the formula in the sixth record? Ce3In5Se12

---

V of number 1 (CeSc2Zn2In2)? 163.3 Å³ per cell